This record from Alexandria via LeMat-Bulk describes a geometry-optimized Na3Nd2PtO6 structure. The functional is PBE.

The value obtained for the magnetic moment is 2.006 Bohr magnetons per cell. The uncorrected formation energy comes out at -23.256 eV per formula unit.

The space group is C2/m (No. 12) and the conventional cell measures 5.9475, 10.2685 and 5.9669 Å, with angles of 90.00, 108.32 and 90.00 degrees. The inequivalent atoms are Na at (0.0000, 0.0000, 0.0000), Na at (0.0000, 0.3463, 0.0000), Nd at (0.0000, 0.1708, 0.5000), Pt at (0.0000, 0.5000, 0.5000), O at (0.2332, 0.5000, 0.2957) and O at (0.2413, 0.3377, 0.7325).